K2RbNiF8 (GGA+U, relaxed); total energy = -3.795 eV per atom; SG = P-1, No. 2
1.0
5.5728 -0.0078 -0.0082
-0.0115 4.8398 0.6356
-0.0052 1.0816 7.5429
F K Rb Ni
8 2 1 1
direct
0.0003 0.3027 0.7998
0.5006 0.1986 0.4981
0.2303 0.8432 0.8920
0.7681 0.8427 0.8921
0.2319 0.1573 0.1079
0.9997 0.6973 0.2002
0.4994 0.8014 0.5019
0.7697 0.1568 0.1080
0.5008 0.3752 0.8033
0.4992 0.6248 0.1967
0.0000 0.0000 0.5000
0.0000 0.0000 0.0000